P | ## NdDyZnAu (GGA-PBE)

Data for a geometry-optimized NdDyZnAu structure.

Cell and atoms, written as POSCAR:
```
NdDyZnAu
1.0
3.653 0.000 0.000
0.000 3.653 0.000
0.000 0.000 7.235
Nd Dy Zn Au
1 1 1 1
Cartesian
1.826 1.826 4.429 Nd
1.826 1.826 0.781 Dy
0.000 0.000 6.319 Zn
0.000 0.000 2.421 Au
```

## Properties
SG = P4mm, No. 99
theoretical density = 9789 kg/m³

Q | ## NdDyZnAu (GGA-PBE)

Data for a geometry-optimized NdDyZnAu structure.

Cell and atoms, written as POSCAR:
```
NdDyZnAu
1.0
5.161 0.000 0.000
2.581 4.470 0.000
2.581 1.490 4.214
Nd Zn Au Dy
1 1 1 1
Cartesian
2.581 1.490 1.054 Nd
0.000 0.000 0.000 Zn
5.161 2.980 2.107 Au
7.742 4.470 3.161 Dy
```

## Properties
SG = F-43m, No. 216
theoretical density = 9721 kg/m³

Energetically preferred structure: P | next structure: +22 meV per atom

P | ## Dy12Ni6Au (GGA-PBE)

Data for a geometry-optimized Dy12Ni6Au structure.

Cell and atoms, written as POSCAR:
```
Dy12Ni6Au
1.0
8.164 -0.326 -0.390
-1.560 8.021 -0.390
-1.560 -1.817 7.822
Dy Ni Au
12 6 1
Cartesian
5.156 3.643 2.907 Dy
1.402 5.431 4.103 Dy
2.819 1.851 6.077 Dy
-0.111 2.235 4.135 Dy
3.643 0.447 2.938 Dy
2.226 4.027 0.964 Dy
-1.321 6.815 2.205 Dy
-1.892 3.660 6.916 Dy
3.905 7.039 -0.058 Dy
6.366 -0.937 4.837 Dy
6.937 2.218 0.126 Dy
1.141 -1.161 7.100 Dy
3.667 5.945 2.397 Ni
4.320 2.057 0.764 Ni
-0.275 4.329 2.160 Ni
1.378 -0.067 4.645 Ni
0.725 3.821 6.278 Ni
5.320 1.549 4.881 Ni
0.000 0.000 0.000 Au
```

## Properties
SG = R-3, No. 148
theoretical density = 8362 kg/m³

Q | ## Dy12Ni6Au (GGA-PBE)

Data for a geometry-optimized Dy12Ni6Au structure.

Cell and atoms, written as POSCAR:
```
Dy12Ni6Au
1.0
7.851 0.000 -2.776
-3.926 6.799 -2.776
0.000 0.000 8.328
Dy Ni Au
12 6 1
Cartesian
1.908 0.783 5.629 Dy
0.452 3.305 -0.639 Dy
3.474 3.495 3.415 Dy
2.018 6.016 -2.853 Dy
-2.294 5.538 -0.077 Dy
3.088 1.261 0.639 Dy
0.838 5.538 2.137 Dy
6.219 1.261 2.853 Dy
5.215 2.044 -2.137 Dy
0.276 2.044 2.698 Dy
3.650 4.755 0.077 Dy
-1.290 4.755 4.912 Dy
0.979 3.400 4.856 Ni
2.946 3.400 -2.080 Ni
0.492 5.948 -0.695 Ni
3.434 0.852 3.471 Ni
5.397 2.548 0.695 Ni
-1.471 4.251 2.080 Ni
0.000 0.000 0.000 Au
```

## Properties
SG = Im-3, No. 204
theoretical density = 9335 kg/m³

Energetically preferred structure: Q | next structure: +161 meV per atom

P | ## DyThNiAu (GGA-PBE)

Data for a geometry-optimized DyThNiAu structure.

Cell and atoms, written as POSCAR:
```
DyThNiAu
1.0
-3.401 1.199 1.299
-1.870 -1.490 -3.521
0.898 -5.652 1.915
Dy Th Ni Au
1 1 1 1
Cartesian
-0.235 -1.483 0.752 Dy
-3.227 -3.870 0.779 Th
-0.646 -4.070 2.065 Ni
-2.767 -0.974 -0.690 Au
```

## Properties
SG = Amm2, No. 38
theoretical density = 11565 kg/m³

Q | ## DyThNiAu (GGA-PBE)

Data for a geometry-optimized DyThNiAu structure.

Cell and atoms, written as POSCAR:
```
DyThNiAu
1.0
5.060 0.000 0.000
2.530 4.382 0.000
2.530 1.461 4.131
Ni Au Th Dy
1 1 1 1
Cartesian
7.589 4.382 3.098 Ni
2.530 1.461 1.033 Au
0.000 0.000 0.000 Th
5.060 2.921 2.066 Dy
```

## Properties
SG = F-43m, No. 216
theoretical density = 11789 kg/m³

Energetically preferred structure: P | next structure: +151 meV per atom